[1]
Material: NaHfGa2Ge
Method: DFT, PBE-GGA
State: relaxed

Fermi-level density of states   1.0687 states/eV per atom
ΔH_f (0 K)   549 kJ/mol of formula units
Crystal system   tetragonal
VASP energy   -3.2517 eV/atom

Cell: 4.736 5.379 4.736 Å, 90.00 90.00 90.00°
Atoms (fractional coordinates):
1 Na 0.000 0.000 0.000
2 Ge 0.500 0.500 0.500
3 Hf 0.000 0.500 0.000
4 Ga 0.000 0.000 0.500
5 Ga 0.500 0.000 0.000

=====

[2]
Material: Hf2GaNiGe
Method: DFT, PBE-GGA
State: relaxed

Fermi-level density of states   0.6286 states/eV per atom
ΔH_f (0 K)   218 kJ/mol of formula units
Crystal system   tetragonal
VASP energy   -6.2148 eV/atom

Cell: 4.945 4.266 4.945 Å, 90.00 90.00 90.00°
Atoms (fractional coordinates):
1 Ni 0.000 0.500 0.000
2 Ge 0.500 0.500 0.500
3 Hf 0.000 0.000 0.500
4 Hf 0.500 0.000 0.000
5 Ga 0.000 0.000 0.000

=====

[3]
Material: HfGaGe2Pd
Method: DFT, PBE-GGA
State: relaxed

Fermi-level density of states   0.8319 states/eV per atom
ΔH_f (0 K)   276 kJ/mol of formula units
Crystal system   tetragonal
VASP energy   -4.9096 eV/atom

Cell: 5.195 4.982 5.195 Å, 90.00 90.00 90.00°
Atoms (fractional coordinates):
1 Ge 0.000 0.000 0.500
2 Ge 0.500 0.000 0.000
3 Hf 0.000 0.000 0.000
4 Ga 0.500 0.500 0.500
5 Pd 0.000 0.500 0.000

=====

[4]
Material: HfGa2GeS
Method: DFT, PBE-GGA
State: relaxed

Fermi-level density of states   0.7812 states/eV per atom
Crystal system   tetragonal
VASP energy   -4.6214 eV/atom

Cell: 5.320 4.752 5.320 Å, 90.00 90.00 90.00°
Atoms (fractional coordinates):
1 Ge 0.500 0.500 0.500
2 Hf 0.000 0.000 0.000
3 S 0.000 0.500 0.000
4 Ga 0.000 0.000 0.500
5 Ga 0.500 0.000 0.000

=====

Q: Number 2 is which compound?
A: Hf2GaNiGe